# 1
DFT (PBE) results for an optimized crystal structure of HfSc2Mo.

Results
energy of formation from the pure elements = 114.9 meV/atom
M_tot = 0.01 μB/f.u.
energy = -8.250 eV per atom

Cell lengths 6.8364, 6.8364, 6.8364 Å; angles 90.00, 90.00, 90.00 degrees
Last column: nearest neighbours and their distance in Å.
Space group F-43m (No. 216)
Asymmetric unit:
Hf: 0.0000 0.0000 0.0000 (multiplicity 4)  4 Mo 2.96, 4 Sc 2.96
Sc: 0.0000 0.0000 0.5000 (multiplicity 4)  4 Mo 2.96, 4 Sc 2.96
Sc: 0.2500 0.2500 0.7500 (multiplicity 4)  4 Hf 2.96, 4 Sc 2.96
Mo: 0.2500 0.2500 0.2500 (multiplicity 4)  4 Hf 2.96, 4 Sc 2.96

# 2
DFT (PBE) results for an optimized crystal structure of HfScMo.

Results
energy of formation from the pure elements = 506.4 meV/atom
M_tot = 0.00 μB/f.u.
energy = -8.537 eV per atom
distance to the lowest polymorph of the same formula = 0.00 eV per formula unit

Cell lengths 6.4297, 6.4297, 6.4297 Å; angles 90.00, 90.00, 90.00 degrees
Last column: nearest neighbours and their distance in Å.
Space group F-43m (No. 216)
Asymmetric unit:
Hf: 0.0000 0.0000 0.0000 (multiplicity 4)  4 Mo 2.78
Sc: 0.0000 0.0000 0.5000 (multiplicity 4)  4 Mo 2.78
Mo: 0.2500 0.2500 0.2500 (multiplicity 4)  4 Hf 2.78, 4 Sc 2.78

# 3
DFT (PBE) results for an optimized crystal structure of HfScMo2.

Results
energy of formation from the pure elements = 136.0 meV/atom
M_tot = 0.00 μB/f.u.
energy = -9.359 eV per atom

Cell lengths 6.6046, 6.6046, 6.6046 Å; angles 90.00, 90.00, 90.00 degrees
Last column: nearest neighbours and their distance in Å.
Space group F-43m (No. 216)
Asymmetric unit:
Hf: 0.0000 0.0000 0.0000 (multiplicity 4)  4 Mo 2.86, 4 Sc 2.86
Sc: 0.2500 0.2500 0.2500 (multiplicity 4)  4 Hf 2.86, 4 Mo 2.86
Mo: 0.0000 0.0000 0.5000 (multiplicity 4)  4 Sc 2.86, 4 Mo 2.86
Mo: 0.2500 0.2500 0.7500 (multiplicity 4)  4 Mo 2.86, 4 Hf 2.86

# 4
DFT (PBE) results for an optimized crystal structure of HfMoSe4.

Results
M_tot = 0.02 μB/f.u.
energy = -6.650 eV per atom

Cell lengths 3.4941, 3.4941, 13.2438 Å; angles 90.00, 90.00, 120.00 degrees
Last column: nearest neighbours and their distance in Å.
Space group P-6m2 (No. 187)
Asymmetric unit:
Hf: 0.0000 0.0000 0.0000 (multiplicity 1)  6 Se 2.66
Mo: 0.6667 0.3333 0.5000 (multiplicity 1)  6 Se 2.58
Se: 0.0000 0.0000 0.3780 (multiplicity 2)  3 Mo 2.58
Se: 0.6667 0.3333 0.1306 (multiplicity 2)  3 Hf 2.66

# 5
DFT (PBE) results for an optimized crystal structure of Hf2SiMo2.

Results
M_tot = 0.00 μB/f.u.
energy = -9.317 eV per atom

Cell lengths 4.6462, 8.0585, 9.7601 Å; angles 90.00, 90.00, 90.00 degrees
Last column: nearest neighbours and their distance in Å.
Space group Cmcm (No. 63)
Asymmetric unit:
Hf: 0.0000 0.1672 0.0754 (multiplicity 8)  3 Mo 2.72
Si: 0.0000 0.1697 0.7500 (multiplicity 4)  6 Mo 2.94-2.98, 8 Hf 3.17-3.20
Mo: 0.0000 0.5004 0.1209 (multiplicity 8)  2 Mo 2.36-2.52

# 6
DFT (PBE) results for an optimized crystal structure of HfSi2Mo2.

Results
M_tot = 0.00 μB/f.u.
energy = -8.436 eV per atom
distance to the lowest polymorph of the same formula = 2.56 eV per formula unit

Cell lengths 4.5293, 4.5293, 8.4153 Å; angles 90.00, 90.00, 90.00 degrees
Last column: nearest neighbours and their distance in Å.
Space group I4/mmm (No. 139)
Asymmetric unit:
Hf: 0.0000 0.0000 0.0000 (multiplicity 2)  10 Mo 3.05-3.40, 8 Si 3.09
Si: 0.0000 0.5000 0.2500 (multiplicity 4)  4 Mo 2.46
Mo: 0.0000 0.0000 0.3628 (multiplicity 4)  1 Mo 2.31, 4 Si 2.46

# 7
DFT (PBE) results for an optimized crystal structure of Hf2SiMo.

Results
M_tot = 0.00 μB/f.u.
energy = -9.121 eV per atom

Cell lengths 6.5265, 6.5265, 6.5265 Å; angles 90.00, 90.00, 90.00 degrees
Last column: nearest neighbours and their distance in Å.
Space group F-43m (No. 216)
Asymmetric unit:
Hf: 0.0000 0.0000 0.0000 (multiplicity 4)  4 Mo 2.83, 4 Hf 2.83
Hf: 0.2500 0.2500 0.2500 (multiplicity 4)  4 Hf 2.83, 4 Si 2.83
Si: 0.0000 0.0000 0.5000 (multiplicity 4)  4 Hf 2.83, 4 Mo 2.83
Mo: 0.2500 0.2500 0.7500 (multiplicity 4)  4 Si 2.83, 4 Hf 2.83

# 8
DFT (PBE) results for an optimized crystal structure of Hf10SiMo3.

Results
M_tot = 0.00 μB/f.u.
energy = -9.996 eV per atom

Cell lengths 8.6891, 8.6891, 8.7472 Å; angles 90.00, 90.00, 120.00 degrees
Last column: nearest neighbours and their distance in Å.
Space group P6_3/mmc (No. 194)
Asymmetric unit:
Hf: 0.0000 0.0000 0.0000 (multiplicity 2)  6 Mo 2.79, 6 Hf 3.04
Hf: 0.0771 0.5386 0.2500 (multiplicity 6)  2 Mo 2.86, 1 Si 3.09
Hf: 0.2005 0.4010 0.5445 (multiplicity 12)  1 Si 2.69, 1 Mo 2.88
Si: 0.3333 0.6667 0.7500 (multiplicity 2)  6 Hf 2.69
Mo: 0.1153 0.2306 0.2500 (multiplicity 6)  6 Hf 2.79-2.88, 2 Mo 3.01